1.
## TbScSnRu (PBE)

Data for a geometry-optimized TbScSnRu structure.

Output
Total magnetization   0.000 μB per atom
SG   F-43m (216)
Formation enthalpy at 0 K   -0.428 eV per atom

Unit cell a=4.942 b=4.942 c=4.942 alpha=60.00 beta=60.00 gamma=60.00
Fractional positions:
1 Tb 0.000 0.000 0.000
2 Sc 0.500 0.500 0.500
3 Sn 0.250 0.250 0.250
4 Ru 0.750 0.750 0.750



2.
## Mn2AlRh (PBE)

Data for a geometry-optimized Mn2AlRh structure.

Output
Total magnetization   0.289 μB per atom
SG   R3m (160)
Formation enthalpy at 0 K   -0.135 eV per atom

Unit cell a=8.333 b=8.333 c=8.333 alpha=18.98 beta=18.98 gamma=18.98
Fractional positions:
1 Mn 0.000 0.000 0.000
2 Mn 0.256 0.256 0.256
3 Al 0.504 0.504 0.504
4 Rh 0.754 0.754 0.754



3.
## K4MnCu3Cl12 (PBE)

Data for a geometry-optimized K4MnCu3Cl12 structure.

Output
Total magnetization   0.151 μB per atom
SG   Im-3m (229)
E_form (uncorrected)   -1.19 eV per atom

Unit cell a=8.466 b=8.466 c=8.466 alpha=109.47 beta=109.47 gamma=109.47
Fractional positions:
1 K 0.000 0.000 0.500
2 K 0.000 0.500 0.000
3 K 0.500 0.000 0.000
4 K 0.500 0.500 0.500
5 Mn 0.000 0.000 0.000
6 Cu 0.000 0.500 0.500
7 Cu 0.500 0.000 0.500
8 Cu 0.500 0.500 0.000
9 Cl 0.000 0.241 0.241
10 Cl 0.000 0.759 0.759
11 Cl 0.241 0.000 0.241
12 Cl 0.241 0.241 0.000
13 Cl 0.250 0.500 0.750
14 Cl 0.250 0.750 0.500
15 Cl 0.500 0.250 0.750
16 Cl 0.500 0.750 0.250
17 Cl 0.750 0.250 0.500
18 Cl 0.750 0.500 0.250
19 Cl 0.759 0.000 0.759
20 Cl 0.759 0.759 0.000



Question: Number 1 is which compound?
Answer: TbScSnRu



Question: Which of these has the highest total magnetization?
Answer: Mn2AlRh